1.
Computed, not measured: a relaxed structure of La4Er3Tl4 at the GGA-PBE level of DFT.

POSCAR file:
```
La4Er3Tl4
1.0
-1.815 4.757 9.921
1.815 -4.757 9.921
1.815 4.757 -9.921
La Er Tl
4 3 4
direct
0.004 0.838 0.166
0.328 0.162 0.166
0.672 0.838 0.834
0.996 0.162 0.834
0.000 0.500 0.500
0.409 0.409 0.000
0.591 0.591 0.000
0.279 0.000 0.279
0.282 0.782 0.500
0.718 0.218 0.500
0.721 0.000 0.721
```

Values from the calculation:
Fermi-level density of states = 0.916 states/eV per atom
calculated total energy = -45.80 eV per cell
energy of formation from the pure elements = -0.27 eV/atom
spin magnetization = 0.00 μB per atom
crystal system = orthorhombic
symmetry = Immm (71)

2.
Computed, not measured: a relaxed structure of LiTa2Al at the GGA-PBE level of DFT.

POSCAR file:
```
LiTa2Al
1.0
2.808 0.000 0.000
0.000 4.324 0.000
-1.392 0.000 5.500
Li Ta Al
1 2 1
direct
0.000 0.000 0.000
0.262 0.000 0.514
0.623 0.500 0.237
0.884 0.500 0.753
```

Values from the calculation:
Fermi-level density of states = 0.838 states/eV per atom
ΔE to the lowest computed polymorph = 0.062 eV per atom
calculated total energy = -28.99 eV per cell
energy of formation from the pure elements = 0.09 eV/atom
spin magnetization = 0.00 μB per atom
crystal system = monoclinic
symmetry = Pm (6)

3.
Computed, not measured: a relaxed structure of KNa2Au at the GGA-PBE level of DFT.

POSCAR file:
```
KNa2Au
1.0
2.593 1.497 5.970
-2.593 1.497 5.970
0.000 -2.994 5.970
K Na Au
1 2 1
direct
0.000 0.000 0.000
0.203 0.203 0.203
0.464 0.464 0.464
0.804 0.804 0.804
```

Values from the calculation:
Fermi-level density of states = 0.385 states/eV per atom
ΔE to the lowest computed polymorph = 0.044 eV per atom
calculated total energy = -7.65 eV per cell
energy of formation from the pure elements = -0.16 eV/atom
spin magnetization = 0.00 μB per atom
crystal system = trigonal
symmetry = R3m (160)

4.
Computed, not measured: a relaxed structure of Ta2Co3B2 at the GGA-PBE level of DFT.

POSCAR file:
```
Ta2Co3B2
1.0
1.514 -7.913 0.000
1.514 7.913 0.000
0.000 0.000 3.275
Ta Co B
2 3 2
direct
0.167 0.833 0.000
0.833 0.167 0.000
0.000 0.000 0.000
0.425 0.575 0.500
0.575 0.425 0.500
0.280 0.720 0.500
0.720 0.280 0.500
```

Values from the calculation:
Fermi-level density of states = 0.718 states/eV per atom
calculated total energy = -61.26 eV per cell
energy of formation from the pure elements = -0.41 eV/atom
spin magnetization = 0.44 μB per atom
crystal system = orthorhombic
symmetry = Cmmm (65)

What did the fourth record say?
Computed, not measured: a relaxed structure of Ta2Co3B2 at the GGA-PBE level of DFT.

POSCAR file:
```
Ta2Co3B2
1.0
1.514 -7.913 0.000
1.514 7.913 0.000
0.000 0.000 3.275
Ta Co B
2 3 2
direct
0.167 0.833 0.000
0.833 0.167 0.000
0.000 0.000 0.000
0.425 0.575 0.500
0.575 0.425 0.500
0.280 0.720 0.500
0.720 0.280 0.500
```

Values from the calculation:
Fermi-level density of states = 0.718 states/eV per atom
calculated total energy = -61.26 eV per cell
energy of formation from the pure elements = -0.41 eV/atom
spin magnetization = 0.44 μB per atom
crystal system = orthorhombic
symmetry = Cmmm (65)

Question: What is the formula in the third record?
Answer: KNa2Au

Question: Among the records above, which one has the highest energy of formation from the pure elements?
Answer: LiTa2Al